# 1
# CdAsO2F

A relaxed structure of CdAsO2F (PBE, Alexandria via LeMat-Bulk).

crystal system	tetragonal
formation energy (no corrections)	-60	kJ/mol of formula units
density of states at the Fermi level	3.28	states/eV/f.u.
symmetry	P4/mmm, No. 123
magnetization	0.00	μB/cell

Lattice parameters (Å, degrees): 4.2240 4.2240 4.2172 90.00 90.00 90.00
Last column: nearest neighbours and their distance in Å.
Element x y z (fractional)
1 Cd 0.0000 0.0000 0.0000  2 F 2.11, 4 O 2.11
2 O 0.0000 0.5000 0.0000  2 Cd 2.11
3 O 0.5000 0.0000 0.0000  2 Cd 2.11
4 F 0.0000 0.0000 0.5000  2 Cd 2.11
5 As 0.5000 0.5000 0.5000  8 O 2.98, 4 F 2.99

=====

# 2
# Y4ZnRh3

A relaxed structure of Y4ZnRh3 (PBE, Alexandria via LeMat-Bulk).

crystal system	tetragonal
DFT formation energy	-0.7082	eV/atom
density of states at the Fermi level	6.76	states/eV/f.u.
symmetry	P4/mmm, No. 123
magnetization	0.00	μB/cell

Lattice parameters (Å, degrees): 4.8737 7.0467 9.7453 90.00 90.00 90.00
Last column: nearest neighbours and their distance in Å.
Element x y z (fractional)
1 Rh 0.4994 0.5000 0.2500  8 Y 3.03
2 Rh 0.4996 0.0000 0.2500  8 Y 2.98
3 Rh 0.5004 0.0000 0.7500  8 Y 2.98
4 Rh 0.0000 0.0000 0.5000  8 Y 2.98
5 Rh 0.5006 0.5000 0.7500  8 Y 3.03
6 Rh 0.0000 0.0000 0.0000  8 Y 2.98
7 Y 0.9997 0.2440 0.2500  6 Rh 2.98-3.03, 2 Zn 3.03
8 Y 0.5000 0.2440 0.0000  6 Rh 2.98-3.03, 2 Zn 3.03
9 Y 0.0003 0.7560 0.7500  6 Rh 2.98-3.03, 2 Zn 3.03
10 Y 0.5000 0.7560 0.0000  6 Rh 2.98-3.03, 2 Zn 3.03
11 Y 0.0003 0.2440 0.7500  6 Rh 2.98-3.03, 2 Zn 3.03
12 Y 0.9997 0.7560 0.2500  6 Rh 2.98-3.03, 2 Zn 3.03
13 Y 0.5000 0.2440 0.5000  6 Rh 2.98-3.03, 2 Zn 3.03
14 Y 0.5000 0.7560 0.5000  6 Rh 2.98-3.03, 2 Zn 3.03
15 Zn 0.0000 0.5000 0.5000  8 Y 3.03
16 Zn 0.0000 0.5000 0.0000  8 Y 3.03

=====

# 3
# TaNi2Mo

A relaxed structure of TaNi2Mo (PBE, Alexandria via LeMat-Bulk).

crystal system	orthorhombic
energy relative to the lowest polymorph listed for this composition	86.3	meV/atom
DFT formation energy	-0.0449	eV/atom
density of states at the Fermi level	1.71	states/eV/f.u.
symmetry	Cmm2, No. 35
magnetization	0.00	μB/cell

Lattice parameters (Å, degrees): 2.7326 2.7326 7.4671 90.00 90.00 90.18
Last column: nearest neighbours and their distance in Å.
Element x y z (fractional)
1 Ni 0.5000 0.5000 0.2277  8 Ni 2.49-2.73, 4 Ta 2.66-2.67
2 Ni 0.0000 0.0000 0.0162  8 Ni 2.49-2.73, 4 Mo 2.60-2.61
3 Ta 0.0000 0.0000 0.4739  4 Ni 2.66-2.67, 4 Ta 2.73
4 Mo 0.5000 0.5000 0.7822  4 Ni 2.60-2.61, 4 Mo 2.73

=====

# 4
# ReSbTe2Br

A relaxed structure of ReSbTe2Br (PBE, Alexandria via LeMat-Bulk).

crystal system	tetragonal
formation energy (no corrections)	915	kJ/mol of formula units
energy relative to the lowest polymorph listed for this composition	1401.4	meV/atom
density of states at the Fermi level	6.29	states/eV/f.u.
symmetry	P4/mmm, No. 123
magnetization	3.55	μB/cell

Lattice parameters (Å, degrees): 5.5577 5.5577 5.4823 90.00 90.00 90.00
Last column: nearest neighbours and their distance in Å.
Element x y z (fractional)
1 Re 0.5000 0.5000 0.5000  8 Te 3.90, 4 Sb 3.93
2 Sb 0.0000 0.0000 0.5000  2 Br 2.74
3 Te 0.0000 0.5000 0.0000  2 Br 2.78
4 Te 0.5000 0.0000 0.0000  2 Br 2.78
5 Br 0.0000 0.0000 0.0000  2 Sb 2.74, 4 Te 2.78